The following is a DFT calculation (PBE) of DyEr2Lu5 after structural relaxation.

Its total energy is -4.543 eV per atom. The calculated formation energy is 0.00 eV per atom.

It has space group Amm2 (No. 38), with a = 5.493 Å, b = 7.060 Å, c = 12.230 Å, α = 90.00°, β = 90.00° and γ = 90.00°. The inequivalent atoms are Dy at (0.000, 0.000, 0.000), Er at (0.000, 0.000, 0.500), Er at (0.500, 0.000, 0.167), Lu at (0.000, 0.250, 0.251), Lu at (0.500, 0.000, 0.668) and Lu at (0.500, 0.250, 0.417).

---

The following is a DFT calculation (PBE) of ErMgCuSe3 after structural relaxation.

Its total energy is -4.479 eV per atom. The energy relative to the lowest polymorph listed for this composition is 63 meV/atom.

It has space group Pnma (No. 62), with a = 11.264 Å, b = 3.931 Å, c = 11.535 Å, α = 90.00°, β = 90.00° and γ = 90.00°. The inequivalent atoms are Er at (0.026, 0.250, 0.190), Mg at (0.182, 0.250, 0.494), Cu at (0.245, 0.750, 0.289), Se at (0.052, 0.750, 0.374), Se at (0.101, 0.250, 0.932) and Se at (0.214, 0.750, 0.664).

---

The following is a DFT calculation (PBE) of CdGa2Hg after structural relaxation.

Its total energy is -1.722 eV per atom.

It has space group F-43m (No. 216), with a = 7.018 Å, b = 7.018 Å, c = 7.018 Å, α = 90.00°, β = 90.00° and γ = 90.00°. The inequivalent atoms are Cd at (0.000, 0.000, 0.000), Ga at (0.000, 0.000, 0.500), Ga at (0.250, 0.250, 0.250) and Hg at (0.250, 0.250, 0.750).

---

The following is a DFT calculation (PBE) of NaIr after structural relaxation.

Its total energy is -3.215 eV per atom.

It has space group Fm-3m (No. 225), with a = 5.444 Å, b = 5.444 Å, c = 5.444 Å, α = 90.00°, β = 90.00° and γ = 90.00°. The inequivalent atoms are Na at (0.000, 0.000, 0.000) and Ir at (0.000, 0.000, 0.500).

---

The following is a DFT calculation (PBE) of Na4Ga2CuPd after structural relaxation.

Its total energy is -2.536 eV per atom.

It has space group P-4m2 (No. 115), with a = 4.737 Å, b = 4.737 Å, c = 6.705 Å, α = 90.00°, β = 90.00° and γ = 90.00°. The inequivalent atoms are Na at (0.000, 0.000, 0.000), Na at (0.000, 0.500, 0.747), Na at (0.500, 0.500, 0.500), Ga at (0.000, 0.500, 0.244), Cu at (0.000, 0.000, 0.500) and Pd at (0.500, 0.500, 0.000).

---

The following is a DFT calculation (PBE) of Cs2CuBiF6 after structural relaxation.

Its total energy is -4.289 eV per atom. The energy relative to the lowest polymorph listed for this composition is 2 meV/atom.

It has space group R-3 (No. 148, hexagonal axes), with a = 6.2226 Å, b = 6.2226 Å, c = 15.2708 Å, α = 90.00°, β = 90.00° and γ = 120.00°. The inequivalent atoms are Cs at (0.0000, 0.0000, 0.2500), Cu at (0.0000, 0.0000, 0.0000), Bi at (0.0000, 0.0000, 0.5000) and F at (0.0102, 0.5042, 0.7472).

---

Repeat the first record exactly.
The following is a DFT calculation (PBE) of DyEr2Lu5 after structural relaxation.

Its total energy is -4.543 eV per atom. The calculated formation energy is 0.00 eV per atom.

It has space group Amm2 (No. 38), with a = 5.493 Å, b = 7.060 Å, c = 12.230 Å, α = 90.00°, β = 90.00° and γ = 90.00°. The inequivalent atoms are Dy at (0.000, 0.000, 0.000), Er at (0.000, 0.000, 0.500), Er at (0.500, 0.000, 0.167), Lu at (0.000, 0.250, 0.251), Lu at (0.500, 0.000, 0.668) and Lu at (0.500, 0.250, 0.417).